Here is an optimized crystal structure of KAcFeO3 from Alexandria. Energies are from PBE with a Hubbard U.

The calculation puts the electronic total energy at -37.96 eV per formula unit. The value obtained for the total magnetic moment is 0.667 μB/atom. As for the space-group type: Cmcm (63).

abc: 6.4706 6.4706 10.4095
angles: 90.00 90.00 145.91
Last column: nearest neighbours and their distance in Å.
Positions (direct):
K: 0.2419 0.7581 0.7500  6 O 3.04-3.06, 1 Fe 3.36
K: 0.7581 0.2419 0.2500  6 O 3.04-3.06, 1 Fe 3.36
Ac: 0.0000 0.0000 0.0000  6 O 2.48-2.72
Ac: 0.0000 0.0000 0.5000  6 O 2.48-2.72
Fe: 0.4865 0.5135 0.2500  4 O 1.99-2.13
Fe: 0.5135 0.4865 0.7500  4 O 1.99-2.13
O: 0.0644 0.9356 0.2500  2 Fe 2.13
O: 0.3960 0.6040 0.0917  1 Fe 1.99
O: 0.3960 0.6040 0.4083  1 Fe 1.99
O: 0.6040 0.3960 0.5917  1 Fe 1.99
O: 0.6040 0.3960 0.9083  1 Fe 1.99
O: 0.9356 0.0644 0.7500  2 Fe 2.13